The following is a DFT calculation (GGA+U) of a relaxed structure of Sr3Co2Cl2O4.

a = 11.3376 Å, b = 11.3376 Å, c = 11.3376 Å
α = 159.45°, β = 159.42°, γ = 29.24°
Site moments in Bohr magnetons follow the coordinates.
Fractional coordinates of all 11 atoms:
Co: 0.0817 0.0817 0.0000  2.66
O: 0.9220 0.4220 0.5000  0.11
O: 0.0780 0.5780 0.5000  0.11
Sr: 0.3488 0.3488 0.0000  0.00
Co: 0.9183 0.9183 0.0000  2.66
Cl: 0.7982 0.7982 0.0000  0.03
Sr: 0.5000 0.5000 0.0000  0.00
O: 0.5782 0.0782 0.5000  0.11
O: 0.4218 0.9218 0.5000  0.11
Sr: 0.6512 0.6512 0.0000  0.00
Cl: 0.2018 0.2018 0.0000  0.03

Output
As for the calculated total energy: -0.2038 hartree per atom. The calculation puts the relative energy among the computed polymorphs at 0.00 eV per formula unit. For the total magnetization, the calculation gives 5.99 μB per cell.